This record from the Alexandria database describes a PBEsol-optimized structure of NaMn3Be. The functional is meta-GGA SCAN.

DOS at the Fermi energy = 5.84 states/eV per cell
Total DFT energy (no corrections) = -0.8056 Ry per atom
DFT formation energy = 165 kJ/mol of atoms
Calculated density = 3.7 Mg/m³

a b c (Å): 4.471 4.471 4.471
angles (deg): 90.00 90.00 90.00
Sites, in units of the cell vectors:
Na  0.000  0.000  0.000
Mn  0.000  0.000  0.500
Mn  0.000  0.500  0.000
Mn  0.500  0.000  0.000
Be  0.500  0.500  0.500